Record 1
Material: TaBeSb2
Method: DFT, PBE-GGA
State: relaxed

Properties
symmetry: P4/mmm, No. 123
DOS at the Fermi energy: 0.7146 states/eV/atom
magnetic moment: 0.00 Bohr magnetons per cell
theoretical density: 9.337 Mg/m³
DFT total energy: -21.728 eV/f.u.
ΔE_f (raw): 51 kJ/mol of atoms

a b c (Å): 4.671 4.671 3.534
angles (deg): 89.96 89.96 90.02
Element x y z (fractional)
Sb1 0.000 0.000 0.000
Sb2 0.500 0.500 0.000
Ta1 0.500 0.000 0.500
Be1 0.000 0.500 0.500


Record 2
Material: K3Nd3PdO8
Method: DFT, PBE-GGA
State: relaxed

Properties
symmetry: R-3m, No. 166
magnetic moment: 0.00 Bohr magnetons per cell
theoretical density: 4.805 Mg/m³
DFT total energy: -94.611 eV/f.u.
ΔE_f (raw): -207 kJ/mol of atoms

a b c (Å): 7.051 7.050 7.499
angles (deg): 118.05 90.00 120.00
Element x y z (fractional)
K1 0.000 0.000 0.000
K2 0.000 0.500 0.000
K3 0.500 0.500 0.000
Nd1 0.500 0.000 0.500
Nd2 0.500 0.500 0.500
Nd3 0.000 0.500 0.500
Pd1 0.000 0.000 0.500
O1 0.270 0.540 0.310
O2 0.730 0.460 0.690
O3 0.791 0.583 0.323
O4 0.209 0.417 0.677
O5 0.791 0.031 0.323
O6 0.209 0.969 0.677
O7 0.240 0.031 0.323
O8 0.760 0.969 0.677


Record 3
Material: Hf2MgZr2Pd5
Method: DFT, PBE-GGA
State: relaxed

Properties
symmetry: P4/mbm, No. 127
DOS at the Fermi energy: 0.8735 states/eV/atom
magnetic moment: 0.00 Bohr magnetons per cell
ΔH_f (0 K): -0.43 eV per atom
theoretical density: 9.449 Mg/m³
DFT total energy: -68.820 eV/f.u.

a b c (Å): 3.439 10.583 10.583
angles (deg): 90.00 90.00 90.00
Element x y z (fractional)
Hf1 0.000 0.143 0.643
Hf2 0.000 0.857 0.357
Hf3 0.000 0.643 0.857
Hf4 0.000 0.357 0.143
Mg1 0.000 0.000 0.000
Mg2 0.000 0.500 0.500
Zr1 0.000 0.663 0.163
Zr2 0.000 0.337 0.837
Zr3 0.000 0.163 0.337
Zr4 0.000 0.837 0.663
Pd1 0.500 0.209 0.012
Pd2 0.500 0.791 0.988
Pd3 0.500 0.012 0.791
Pd4 0.500 0.709 0.488
Pd5 0.500 0.988 0.209
Pd6 0.500 0.291 0.512
Pd7 0.500 0.512 0.709
Pd8 0.500 0.488 0.291
Pd9 0.500 0.500 0.000
Pd10 0.500 0.000 0.500


Record 4
Material: RbGaPb
Method: DFT, PBE-GGA
State: relaxed

Properties
symmetry: Cmcm, No. 63
DOS at the Fermi energy: 0.2868 states/eV/atom
magnetic moment: 0.00 Bohr magnetons per cell
ΔH_f (0 K): -0.08 eV per atom
theoretical density: 5.304 Mg/m³
DFT total energy: -7.936 eV/f.u.

a b c (Å): 10.081 10.081 4.869
angles (deg): 90.00 90.00 152.71
Element x y z (fractional)
Pb1 0.251 0.749 0.250
Pb2 0.749 0.251 0.750
Ga1 0.851 0.149 0.250
Ga2 0.149 0.851 0.750
Rb1 0.589 0.411 0.250
Rb2 0.411 0.589 0.750


Record 5
Material: K2RbMnCl8
Method: DFT, PBE-GGA
State: relaxed

Properties
symmetry: P-1, No. 2
DOS at the Fermi energy: 0.1155 states/eV/atom
magnetic moment: 3.23 Bohr magnetons per cell
theoretical density: 2.419 Mg/m³
DFT total energy: -43.027 eV/f.u.
ΔE_f (raw): -128 kJ/mol of atoms

a b c (Å): 6.788 5.759 9.147
angles (deg): 74.64 90.15 90.37
Last column: magnetic moment on the atom in μB.
Element x y z (fractional)
K1 0.501 0.337 0.813  0.00
K2 0.499 0.663 0.187  0.00
Rb1 0.000 0.000 0.500  0.00
Mn1 0.000 0.000 0.000  2.89
Cl1 0.999 0.677 0.211  -0.01
Cl2 0.761 0.830 0.884  -0.01
Cl3 0.762 0.169 0.115  -0.01
Cl4 0.001 0.323 0.789  -0.01
Cl5 0.239 0.170 0.116  -0.01
Cl6 0.238 0.831 0.885  -0.01
Cl7 0.500 0.755 0.506  0.10
Cl8 0.500 0.245 0.494  0.10


Record 6
Material: Ba2MgHI
Method: DFT, PBE-GGA
State: relaxed

Properties
symmetry: P4/mmm, No. 123
DOS at the Fermi energy: 1.4233 states/eV/atom
magnetic moment: 0.00 Bohr magnetons per cell
theoretical density: 4.403 Mg/m³
DFT total energy: -12.650 eV/f.u.

a b c (Å): 6.155 4.249 6.155
angles (deg): 90.00 90.00 90.00
Element x y z (fractional)
I1 0.500 0.500 0.500
H1 0.000 0.000 0.000
Mg1 0.000 0.500 0.000
Ba1 0.000 0.000 0.500
Ba2 0.500 0.000 0.000


Repeat the fifth record exactly.
Material: K2RbMnCl8
Method: DFT, PBE-GGA
State: relaxed

Properties
symmetry: P-1, No. 2
DOS at the Fermi energy: 0.1155 states/eV/atom
magnetic moment: 3.23 Bohr magnetons per cell
theoretical density: 2.419 Mg/m³
DFT total energy: -43.027 eV/f.u.
ΔE_f (raw): -128 kJ/mol of atoms

a b c (Å): 6.788 5.759 9.147
angles (deg): 74.64 90.15 90.37
Last column: magnetic moment on the atom in μB.
Element x y z (fractional)
K1 0.501 0.337 0.813  0.00
K2 0.499 0.663 0.187  0.00
Rb1 0.000 0.000 0.500  0.00
Mn1 0.000 0.000 0.000  2.89
Cl1 0.999 0.677 0.211  -0.01
Cl2 0.761 0.830 0.884  -0.01
Cl3 0.762 0.169 0.115  -0.01
Cl4 0.001 0.323 0.789  -0.01
Cl5 0.239 0.170 0.116  -0.01
Cl6 0.238 0.831 0.885  -0.01
Cl7 0.500 0.755 0.506  0.10
Cl8 0.500 0.245 0.494  0.10